## Pa3Si7Ni2 (PBE-GGA)

Data for Pa3Si7Ni2 after structural relaxation.

Output
The calculation puts the formation energy without anion corrections at -0.586 eV/atom. The value obtained for the final energy is -7.09 eV/atom. The space-group type is P2/m, No. 10. Its energy above the lowest structure with this stoichiometry is 0 meV per atom.

```
data_Pa3Si7Ni2
_chemical_formula_sum 'Pa3 Si7 Ni2'
_cell_length_a 4.0680
_cell_length_b 4.0837
_cell_length_c 12.3291
_cell_angle_alpha 98.56
_cell_angle_beta 90.00
_cell_angle_gamma 90.00
_space_group_name_H-M_alt 'P 1'
_space_group_IT_number 1
_space_group_name_Hall 'P 1'
loop_
_atom_site_label
_atom_site_fract_x
_atom_site_fract_y
_atom_site_fract_z
_atom_site_occupancy
Si1 0.5000 0.2696 0.5520 1
Si2 0.5000 0.0745 0.1741 1
Si3 0.5000 0.7304 0.4480 1
Si4 0.0000 0.0000 0.0000 1
Si5 0.0000 0.3350 0.8227 1
Si6 0.5000 0.9255 0.8259 1
Si7 0.0000 0.6650 0.1773 1
Pa1 0.5000 0.5000 0.0000 1
Pa2 0.0000 0.1996 0.3704 1
Pa3 0.0000 0.8004 0.6296 1
Ni1 0.5000 0.6040 0.2587 1
Ni2 0.5000 0.3960 0.7413 1
```